1.
# Tm6RuAu

A geometry-optimized Tm6RuAu structure (GGA-PBE, Alexandria).

The energy is -5.148 eV/atom. As for the total magnetization: 0.0 μB per cell.

The space group is C2/m (No. 12) and the conventional cell measures 6.692, 10.926 and 6.767 Å, with angles of 90.00, 109.51 and 90.00 degrees. The inequivalent atoms are Tm at (0.234, 0.179, 0.236), Tm at (0.248, 0.500, 0.231), Ru at (0.000, 0.000, 0.000) and Au at (0.000, 0.500, 0.500).

***

2.
# Tm5Ru4Au

A geometry-optimized Tm5Ru4Au structure (GGA-PBE, Alexandria).

The energy is -6.829 eV/atom. As for the total magnetization: 0.0 μB per cell.

The space group is P4/mmm (No. 123) and the conventional cell measures 3.379, 3.379 and 17.135 Å, with angles of 90.00, 90.00 and 90.00 degrees. The inequivalent atoms are Tm at (0.000, 0.000, 0.000), Tm at (0.000, 0.000, 0.193), Tm at (0.000, 0.000, 0.387), Ru at (0.500, 0.500, 0.098), Ru at (0.500, 0.500, 0.296) and Au at (0.500, 0.500, 0.500).

***

3.
# Tm6Ru2Au

A geometry-optimized Tm6Ru2Au structure (GGA-PBE, Alexandria).

The energy is -5.884 eV/atom. As for the total magnetization: 0.0 μB per cell.

The space group is Immm (No. 71) and the conventional cell measures 9.193, 9.251 and 10.177 Å, with angles of 90.00, 90.00 and 90.00 degrees. The inequivalent atoms are Tm at (0.000, 0.196, 0.245), Tm at (0.187, 0.500, 0.169), Tm at (0.221, 0.320, 0.500), Ru at (0.000, 0.326, 0.000), Ru at (0.000, 0.500, 0.372), Au at (0.000, 0.000, 0.000) and Au at (0.000, 0.000, 0.500).

***

4.
# Tm2RuAu

A geometry-optimized Tm2RuAu structure (GGA-PBE, Alexandria).

The energy is -6.094 eV/atom. As for the total magnetization: 0.0 μB per cell.

The space group is P4/mmm (No. 123) and the conventional cell measures 3.390, 3.390 and 7.205 Å, with angles of 90.00, 90.00 and 90.00 degrees. The inequivalent atoms are Tm at (0.000, 0.000, 0.229), Ru at (0.500, 0.500, 0.000) and Au at (0.500, 0.500, 0.500).